Entry from Alexandria: crystalline PmHo2Ni at its relaxed geometry (PBE-GGA).

Values from the calculation:
Its formation energy from the elements is -233 meV per atom. As for the crystal system: orthorhombic. For the excess energy over the best structure of this formula in the dataset, the calculation gives 0.00 eV/f.u.

```
PmHo2Ni
1.0
6.882 0.000 0.000
0.000 9.599 0.000
0.000 0.000 6.382
Pm Ho Ni
4 8 4
Cartesian
0.214 2.400 0.888
3.228 7.200 4.079
3.655 2.400 2.302
6.669 7.200 5.493
1.210 0.642 4.317
1.210 4.158 4.317
2.231 5.441 1.126
2.231 8.958 1.126
4.652 0.642 5.255
4.652 4.158 5.255
5.672 5.441 2.064
5.672 8.958 2.064
0.765 7.200 2.763
2.676 2.400 5.954
4.206 7.200 0.428
6.117 2.400 3.619
```

Entry from Alexandria: crystalline PmHo12Ni6 at its relaxed geometry (PBE-GGA).

Values from the calculation:
Its formation energy from the elements is -249 meV per atom. As for the crystal system: cubic.

```
PmHo12Ni6
1.0
-4.901 4.901 4.901
4.901 -4.901 4.901
4.901 4.901 -4.901
Pm Ho Ni
1 12 6
Cartesian
0.000 0.000 0.000
4.901 3.095 -1.851
3.050 0.000 1.806
6.751 0.000 1.806
1.806 3.050 0.000
3.095 -1.851 4.901
0.000 1.806 3.050
4.901 3.095 1.851
1.806 6.751 0.000
3.095 1.851 4.901
-1.851 4.901 3.095
1.851 4.901 3.095
0.000 1.806 6.751
4.901 1.214 0.000
4.901 0.000 3.686
3.686 4.901 0.000
1.214 0.000 4.901
0.000 4.901 1.214
0.000 3.686 4.901
```

Entry from Alexandria: crystalline Pm3HoNi at its relaxed geometry (PBE-GGA).

Values from the calculation:
Its formation energy from the elements is 51 meV per atom. As for the crystal system: cubic. For the excess energy over the best structure of this formula in the dataset, the calculation gives 0.49 eV/f.u.

```
Pm3HoNi
1.0
5.432 0.000 0.000
0.000 5.432 0.000
0.000 0.000 5.432
Pm Ho Ni
3 1 1
Cartesian
0.000 0.000 2.716
0.000 2.716 0.000
2.716 0.000 0.000
2.716 2.716 2.716
0.000 0.000 0.000
```

Entry from Alexandria: crystalline PmHoNi2 at its relaxed geometry (PBE-GGA).

Values from the calculation:
Its formation energy from the elements is -326 meV per atom. As for the crystal system: cubic. For the excess energy over the best structure of this formula in the dataset, the calculation gives 0.32 eV/f.u.

```
PmHoNi2
1.0
0.000 3.416 3.416
3.416 0.000 3.416
3.416 3.416 0.000
Pm Ho Ni
1 1 2
Cartesian
0.000 0.000 0.000
3.416 3.416 3.416
1.708 1.708 1.708
5.124 5.124 5.124
```

Entry from Alexandria: crystalline Pm2Ho2Ni15 at its relaxed geometry (PBE-GGA).

Values from the calculation:
Its formation energy from the elements is -224 meV per atom. As for the crystal system: trigonal.

```
Pm2Ho2Ni15
1.0
4.284 2.474 4.219
-4.284 2.474 4.219
0.000 -4.947 4.219
Pm Ho Ni
2 2 15
Cartesian
0.000 0.000 1.787
0.000 0.000 10.871
0.000 0.000 4.927
0.000 0.000 7.730
-2.142 -1.237 4.219
0.000 -2.539 4.096
-2.198 1.269 4.096
-1.314 -2.275 6.329
-2.627 0.000 6.329
-2.198 -1.269 8.562
-2.142 1.237 8.438
1.314 -2.275 6.329
0.000 2.474 4.219
-1.314 2.275 6.329
2.198 1.269 4.096
2.627 0.000 6.329
1.314 2.275 6.329
2.198 -1.269 8.562
0.000 2.539 8.562
```

Entry from Alexandria: crystalline Pm3HoNi2 at its relaxed geometry (PBE-GGA).

Values from the calculation:
Its formation energy from the elements is -246 meV per atom. As for the crystal system: monoclinic.

```
Pm3HoNi2
1.0
8.211 -1.969 0.000
8.211 1.969 0.000
-6.461 0.000 9.632
Pm Ho Ni
6 2 4
Cartesian
-1.543 0.000 4.276
-4.704 0.000 9.032
0.812 0.000 7.247
9.149 0.000 2.385
14.665 0.000 0.599
11.504 0.000 5.355
4.000 0.000 2.397
5.961 0.000 7.234
-1.747 0.000 9.148
1.508 0.000 4.313
8.453 0.000 5.319
11.708 0.000 0.483
```

Entry from Alexandria: crystalline Pm3HoNi at its relaxed geometry (PBE-GGA).

Values from the calculation:
Its formation energy from the elements is -46 meV per atom. As for the crystal system: orthorhombic. For the excess energy over the best structure of this formula in the dataset, the calculation gives 0.00 eV/f.u.

```
Pm3HoNi
1.0
-5.222 3.683 3.985
5.222 -3.683 3.985
5.222 3.683 -3.985
Pm Ho Ni
6 2 2
Cartesian
2.611 3.637 -1.984
0.162 1.838 0.000
5.059 1.838 0.000
2.611 0.046 2.001
0.162 1.845 3.985
5.059 1.845 3.985
2.611 -0.054 5.968
2.611 3.737 1.984
7.833 1.827 0.000
-2.611 1.857 3.984
```

Entry from Alexandria: crystalline PmHoNi at its relaxed geometry (PBE-GGA).

Values from the calculation:
Its formation energy from the elements is -203 meV per atom. As for the crystal system: tetragonal. For the excess energy over the best structure of this formula in the dataset, the calculation gives 0.00 eV/f.u.

```
PmHoNi
1.0
-1.720 1.720 6.276
1.720 -1.720 6.276
1.720 1.720 -6.276
Pm Ho Ni
1 1 1
Cartesian
0.000 0.000 0.000
0.000 0.000 9.257
0.000 0.000 4.493
```